Record 1
TmGaTe, relaxed, DFT PBE; total magnetization = 0.00 μB per cell; formation energy (no corrections) = -716 meV per atom; uncorrected energy = -4.263 eV per atom; SG = P4/nmm, No. 129
1.0
3.858 0.000 0.000
0.000 3.858 0.000
0.000 0.000 10.497
Tm Ga Te
2 2 2
direct
0.250 0.250 0.250
0.750 0.750 0.750
0.250 0.250 0.545
0.750 0.750 0.455
0.250 0.250 0.874
0.750 0.750 0.126

---

Record 2
BeIrAu2, relaxed, DFT PBE; total magnetization = 0.61 μB per cell; uncorrected energy = -4.701 eV per atom; SG = Immm, No. 71; DFT formation energy = 0.3 eV per formula unit
1.0
2.850 0.000 0.000
0.000 3.656 0.000
0.000 0.000 12.008
Be Ir Au
2 2 4
direct
0.000 0.000 0.000
0.500 0.500 0.500
0.000 0.000 0.500
0.500 0.500 0.000
0.000 0.500 0.323
0.000 0.500 0.677
0.500 0.000 0.177
0.500 0.000 0.823